Entry 1:
Dy6Ag5 | PBE-GGA | relaxed

- energy of formation from the pure elements (eV per atom) = -0.2196
- energy (eV/atom) = -4.0259
- volume (Å³/atom) = 25.6

Cell: 8.826 8.826 8.826 Å, 146.33 131.70 60.17°
Element x y z (fractional)
Dy  0.085  0.336  0.748
Dy  0.248  0.000  0.248
Dy  0.412  0.664  0.748
Dy  0.588  0.336  0.252
Dy  0.752  0.000  0.752
Dy  0.915  0.664  0.252
Ag  0.169  0.169  0.000
Ag  0.331  0.831  0.500
Ag  0.500  0.500  0.000
Ag  0.669  0.169  0.500
Ag  0.831  0.831  0.000

Entry 2:
Dy3Ag4 | PBE-GGA | relaxed

- energy of formation from the pure elements (eV per atom) = -0.0984
- energy (eV/atom) = -3.7000
- volume (Å³/atom) = 26.0

Cell: 8.786 8.786 8.786 Å, 33.27 33.27 33.27°
Element x y z (fractional)
Dy  0.000  0.000  0.000
Dy  0.244  0.244  0.244
Dy  0.756  0.756  0.756
Ag  0.122  0.122  0.122
Ag  0.369  0.369  0.369
Ag  0.631  0.631  0.631
Ag  0.878  0.878  0.878